1.
DFT (PBE) results for crystalline RbBiW at its relaxed geometry.

Calculated values
- Magnetization: 1.33 μB per atom
- Crystal system: cubic
- Calculated density: 7.12 Mg/m³
- Relative energy among the computed polymorphs: 699.2 meV per atom
- Space group: F-43m (216)

Cell lengths 5.4032, 5.4032, 5.4032 Å; angles 60.00, 60.00, 60.00 degrees
With the nearest neighbours (Å) after each atom.
Element x y z (fractional)
Bi (0.2500, 0.2500, 0.2500)  4 Rb 3.31
Rb (0.0000, 0.0000, 0.0000)  4 Bi 3.31, 4 W 3.31
W (0.7500, 0.7500, 0.7500)  4 Rb 3.31

=====

2.
DFT (PBE) results for crystalline GdCoHg at its relaxed geometry.

Calculated values
- Magnetization: 0.19 μB per atom
- Crystal system: cubic
- Formation enthalpy at 0 K: 0.50 eV per atom
- Calculated density: 9.08 Mg/m³
- Space group: F-43m (216)

Cell lengths 4.7588, 4.7588, 4.7588 Å; angles 60.00, 60.00, 60.00 degrees
With the nearest neighbours (Å) after each atom.
Element x y z (fractional)
Co (0.2500, 0.2500, 0.2500)  4 Gd 2.91
Gd (0.0000, 0.0000, 0.0000)  4 Hg 2.91, 4 Co 2.91
Hg (0.7500, 0.7500, 0.7500)  4 Gd 2.91

=====

3.
DFT (PBE) results for crystalline Dy2Sc2CI4Cl at its relaxed geometry.

Calculated values
- Magnetization: 0.00 μB per atom
- Crystal system: monoclinic
- Calculated density: 5.29 Mg/m³
- Relative energy among the computed polymorphs: 0.0 meV per atom
- Space group: C2/m (12)

Cell lengths 10.3809, 10.3809, 7.9837 Å; angles 100.83, 100.83, 21.12 degrees
With the nearest neighbours (Å) after each atom.
Element x y z (fractional)
C (0.5000, 0.5000, 0.0000)  2 Sc 2.23
Cl (0.5000, 0.5000, 0.5000)  4 Dy 3.02
Dy (0.0000, 0.0000, 0.2068)  2 C 2.52
Dy (0.0000, 0.0000, 0.7932)  2 C 2.52
I (0.8456, 0.8456, 0.1797)  2 Sc 2.92, 1 Dy 3.12
I (0.1539, 0.1539, 0.3307)  2 Sc 2.92, 1 Dy 3.11
I (0.8461, 0.8461, 0.6693)  2 Sc 2.92, 1 Dy 3.11
I (0.1544, 0.1544, 0.8203)  2 Sc 2.92, 1 Dy 3.12
Sc (0.6113, 0.6113, 0.0546)  1 C 2.23
Sc (0.3887, 0.3887, 0.9454)  1 C 2.23

=====

4.
DFT (PBE) results for crystalline LuZrFeGe at its relaxed geometry.

Calculated values
- Magnetization: 0.14 μB per atom
- Crystal system: cubic
- Calculated density: 9.33 Mg/m³
- Relative energy among the computed polymorphs: 0.0 meV per atom
- Space group: F-43m (216)

Cell lengths 4.6308, 4.6308, 4.6308 Å; angles 60.00, 60.00, 60.00 degrees
With the nearest neighbours (Å) after each atom.
Element x y z (fractional)
Fe (0.7500, 0.7500, 0.7500)  4 Zr 2.84, 4 Ge 2.84
Ge (0.0000, 0.0000, 0.0000)  4 Lu 2.84, 4 Fe 2.84
Lu (0.2500, 0.2500, 0.2500)  4 Ge 2.84, 4 Zr 2.84
Zr (0.5000, 0.5000, 0.5000)  4 Fe 2.84, 4 Lu 2.84

=====

5.
DFT (PBE) results for crystalline LiSc2Pd at its relaxed geometry.

Calculated values
- Magnetization: 0.00 μB per atom
- Crystal system: cubic
- Raw total energy: -5.18 eV per atom
- Calculated density: 4.78 Mg/m³
- Space group: F-43m (216)

Cell lengths 4.6380, 4.6380, 4.6380 Å; angles 60.00, 60.00, 60.00 degrees
With the nearest neighbours (Å) after each atom.
Element x y z (fractional)
Li (0.5000, 0.5000, 0.5000)  4 Sc 2.84, 4 Pd 2.84
Pd (0.2500, 0.2500, 0.2500)  4 Li 2.84, 4 Sc 2.84
Sc (0.0000, 0.0000, 0.0000)  4 Sc 2.84, 4 Pd 2.84
Sc (0.7500, 0.7500, 0.7500)  4 Li 2.84, 4 Sc 2.84

=====

6.
DFT (PBE) results for crystalline PrReNO at its relaxed geometry.

Calculated values
- Magnetization: 0.00 μB per atom
- Crystal system: orthorhombic
- Calculated density: 10.12 Mg/m³
- Relative energy among the computed polymorphs: 44.6 meV per atom
- Space group: Pca2_1 (29)

Cell lengths 6.7890, 7.0049, 4.9308 Å; angles 90.00, 90.00, 90.00 degrees
With the nearest neighbours (Å) after each atom.
Element x y z (fractional)
N (0.4021, 0.0010, 0.1645)  3 Re 1.93-2.10
N (0.9021, 0.9990, 0.1645)  3 Re 1.93-2.10
N (0.0979, 0.0010, 0.6645)  3 Re 1.93-2.10
N (0.5979, 0.9990, 0.6645)  3 Re 1.93-2.10
O (0.5697, 0.3640, 0.4930)  1 Re 2.32, 4 Pr 2.37-2.54
O (0.0697, 0.6360, 0.4930)  1 Re 2.32, 4 Pr 2.37-2.54
O (0.9303, 0.3640, 0.9930)  1 Re 2.32, 4 Pr 2.37-2.54
O (0.4303, 0.6360, 0.9930)  1 Re 2.32, 4 Pr 2.37-2.54
Pr (0.5715, 0.3261, 0.0048)  4 O 2.37-2.54
Pr (0.0715, 0.6739, 0.0048)  4 O 2.37-2.54
Pr (0.9285, 0.3261, 0.5048)  4 O 2.37-2.54
Pr (0.4285, 0.6739, 0.5048)  4 O 2.37-2.54
Re (0.1651, 0.1261, 0.0401)  3 N 1.93-2.10
Re (0.6651, 0.8739, 0.0401)  3 N 1.93-2.10
Re (0.3349, 0.1261, 0.5401)  3 N 1.93-2.10
Re (0.8350, 0.8739, 0.5401)  3 N 1.93-2.10